# 1
Material: Tm2PbSe4
Method: DFT, PBE
State: relaxed

abc: 12.552 4.087 14.837
angles: 90.00 90.00 90.00
Positions (direct):
Se  0.704  0.250  0.168
Tm  0.558  0.750  0.111
Se  0.471  0.750  0.286
Se  0.796  0.750  0.668
Se  0.296  0.750  0.832
Se  0.529  0.250  0.714
Tm  0.442  0.250  0.889
Se  0.628  0.250  0.468
Pb  0.236  0.750  0.170
Se  0.408  0.250  0.075
Tm  0.084  0.750  0.904
Se  0.204  0.250  0.332
Tm  0.584  0.750  0.596
Tm  0.416  0.250  0.404
Tm  0.916  0.250  0.096
Tm  0.058  0.750  0.389
Se  0.971  0.750  0.214
Pb  0.264  0.250  0.670
Pb  0.736  0.750  0.330
Pb  0.764  0.250  0.830
Se  0.592  0.750  0.925
Se  0.872  0.750  0.968
Tm  0.942  0.250  0.611
Se  0.128  0.250  0.032
Se  0.908  0.250  0.425
Se  0.092  0.750  0.575
Se  0.372  0.750  0.532
Se  0.029  0.250  0.786

Properties
Energy in eV per formula unit: -36.93
Space group: Pnma (62)



# 2
Material: YTmPbSe3
Method: DFT, PBE
State: relaxed

abc: 8.041 8.041 11.382
angles: 90.00 90.00 151.00
Positions (direct):
Y  0.500  0.500  0.500
Pb  0.805  0.195  0.750
Tm  0.872  0.128  0.250
Y  0.500  0.500  0.000
Se  0.497  0.503  0.250
Pb  0.195  0.805  0.250
Se  0.132  0.868  0.992
Se  0.132  0.868  0.508
Se  0.503  0.497  0.750
Se  0.868  0.132  0.008
Se  0.868  0.132  0.492
Tm  0.128  0.872  0.750

Properties
Energy in eV per formula unit: -32.67
Space group: Cmcm (63)